RbAlFeF6 | PBE with a Hubbard U | relaxed

## Properties
Electronic total energy   -5.470 eV/atom
Space-group type   C2

Lattice parameters (Å, degrees): 5.3572 5.3572 6.0080 90.02 90.02 120.08
Fractional positions:
Rb 0.0000 0.0000 0.0000
Al 0.6667 0.3333 0.5000
Fe 0.3333 0.6667 0.5000
F 0.3968 0.0355 0.6721
F 0.4000 0.3642 0.3263
F 0.6358 0.6000 0.6737
F 0.6381 0.0396 0.3247
F 0.9604 0.3619 0.6753
F 0.9645 0.6032 0.3279